Entry from the Alexandria database: a relaxed RbCrCd2F8 crystal (PBE with a Hubbard U).

Cell lengths 5.0686, 7.3477, 5.1434 Å; angles 90.00, 90.97, 90.00 degrees
Closest atoms and distances in Å follow each position.
Space group P2/m (No. 10)
Symmetry-distinct sites (fractional):
Rb 0.0000 0.0000 0.0000 (multiplicity 1)  6 F 2.60-2.70
Cr 0.0000 0.5000 0.0000 (multiplicity 1)  6 F 1.95-2.02
Cd 0.5000 0.2562 0.5000 (multiplicity 2)  6 F 2.25-2.43
F 0.1674 0.3150 0.2176 (multiplicity 4)  1 Cr 1.95
F 0.2990 0.5000 0.7465 (multiplicity 2)  1 Cr 2.02
F 0.4291 0.0000 0.7314 (multiplicity 2)  2 Cd 2.26, 1 F 2.50

Properties
Energy: -0.1670 Ha/atom
V: 192 Å³/cell
Crystal system: monoclinic
ρ: 4.46 g/cm3
Magnetic moment: 3.00 Bohr magnetons per cell